DFT (PBE+U) results for crystalline FeH2SO5 at its relaxed geometry.

```
FeH2SO5
1.0
3.466 -3.948 0.000
3.466 3.948 0.000
-3.338 0.000 7.020
Fe H S O
2 4 2 10
direct
0.000 0.500 0.000
0.500 0.000 0.500
0.052 0.129 0.710
0.129 0.052 0.210
0.871 0.948 0.790
0.948 0.871 0.290
0.415 0.585 0.750
0.585 0.415 0.250
0.112 0.888 0.250
0.278 0.332 0.163
0.292 0.673 0.899
0.327 0.708 0.601
0.332 0.278 0.663
0.668 0.722 0.337
0.673 0.292 0.399
0.708 0.327 0.101
0.722 0.668 0.837
0.888 0.112 0.750
```

SG: C2/c, No. 15
E, eV per atom: -5.94
Fermi-level density of states, states/eV/f.u.: 0.0